# 1
La2CoAgSn after structural relaxation, computed with PBE-GGA.

abc: 5.3362 5.3362 4.8284
angles: 90.00 90.00 90.00
With the nearest neighbours (Å) after each atom.
Positions (direct):
La 0.0000 0.5000 0.0000  2 Co 2.67
La 0.5000 0.0000 0.0000  2 Co 2.67
Ag 0.5000 0.5000 0.5000  8 La 3.60, 4 Sn 3.77
Co 0.0000 0.0000 0.0000  2 Sn 2.41, 4 La 2.67
Sn 0.0000 0.0000 0.5000  2 Co 2.41

Results
Symmetry: P4/mmm
ΔH_f (0 K), eV per atom: -0.303
Total magnetization, μB per formula unit: 0.00
N(E_F), states/eV/atom: 0.959
Calculated total energy, eV per atom: -5.066

# 2
LaCrSi after structural relaxation, computed with PBE-GGA.

abc: 4.9027 4.9027 4.9027
angles: 60.00 60.00 60.00
With the nearest neighbours (Å) after each atom.
Positions (direct):
Cr 0.5000 0.5000 0.5000  4 La 3.00
Si 0.0000 0.0000 0.0000  4 La 3.00
La 0.7500 0.7500 0.7500  4 Cr 3.00, 4 Si 3.00

Results
Symmetry: F-43m
Total magnetization, μB per formula unit: 4.62
N(E_F), states/eV/atom: 0.731
E_form (uncorrected), kJ/mol of atoms: 66
Calculated total energy, eV per atom: -5.979

# 3
NiAu2I after structural relaxation, computed with PBE-GGA.

abc: 8.1506 8.1506 6.3129
angles: 49.79 49.79 90.00
With the nearest neighbours (Å) after each atom.
Positions (direct):
Au 0.5623 0.1250 0.2500  2 Ni 2.63, 2 Au 2.77
Au 0.3750 0.4377 0.7500  2 Ni 2.63, 2 Au 2.77
Au 0.1877 0.6250 0.2500  2 Ni 2.63, 2 Au 2.77
Au 0.8750 0.8123 0.7500  2 Ni 2.63, 2 Au 2.77
I 0.0000 0.0000 0.0000  2 Ni 2.58
I 0.7500 0.2500 0.5000  2 Ni 2.58
Ni 0.2500 0.7500 0.5000  2 I 2.58, 4 Au 2.63
Ni 0.5000 0.5000 0.0000  2 I 2.58, 4 Au 2.63

Results
Symmetry: I-42d
Total magnetization, μB per formula unit: 0.00
N(E_F), states/eV/atom: 0.618
Excess energy over the best structure of this formula in the dataset, eV per formula unit: 0.00
E_form (uncorrected), kJ/mol of atoms: 43
Calculated total energy, eV per atom: -3.022

# 4
CePrGa4 after structural relaxation, computed with PBE-GGA.

abc: 4.2762 4.2762 8.0292
angles: 105.44 105.44 90.00
With the nearest neighbours (Å) after each atom.
Positions (direct):
Pr 0.2500 0.7500 0.5000  12 Ga 3.27-3.28
Ga 0.8337 0.3337 0.6675  3 Ga 2.48-2.49
Ga 0.5824 0.5824 0.1649  3 Ga 2.45-2.48
Ga 0.4176 0.4176 0.8351  3 Ga 2.45-2.48
Ga 0.6663 0.1663 0.3325  3 Ga 2.48-2.49
Ce 0.0000 0.0000 0.0000  12 Ga 3.26-3.27

Results
Symmetry: I-4m2
ΔH_f (0 K), eV per atom: -0.634
Total magnetization, μB per formula unit: 0.50
N(E_F), states/eV/atom: 1.114
Excess energy over the best structure of this formula in the dataset, eV per formula unit: 0.07
Calculated total energy, eV per atom: -4.438

# 5
La2Fe2Ir after structural relaxation, computed with PBE-GGA.

abc: 6.7667 6.7667 4.4023
angles: 90.00 90.00 90.00
With the nearest neighbours (Å) after each atom.
Positions (direct):
La 0.1874 0.6874 0.5000  6 Fe 2.87-3.06
La 0.8126 0.3126 0.5000  6 Fe 2.87-3.06
La 0.6874 0.8126 0.5000  6 Fe 2.87-3.06
La 0.3126 0.1874 0.5000  6 Fe 2.87-3.06
Fe 0.1197 0.3803 0.0000  1 Fe 2.29
Fe 0.8803 0.6197 0.0000  1 Fe 2.29
Fe 0.6197 0.1197 0.0000  1 Fe 2.29
Fe 0.3803 0.8803 0.0000  1 Fe 2.29
Ir 0.5000 0.5000 0.0000  4 Fe 2.70
Ir 0.0000 0.0000 0.0000  4 Fe 2.70

Results
Symmetry: P4/mbm
ΔH_f (0 K), eV per atom: -0.025
Total magnetization, μB per formula unit: 3.54
N(E_F), states/eV/atom: 1.026
Calculated total energy, eV per atom: -7.153

# 6
Ce4ErBi6 after structural relaxation, computed with PBE-GGA.

abc: 8.9642 8.9642 8.9642
angles: 91.36 91.36 88.64
With the nearest neighbours (Å) after each atom.
Positions (direct):
Bi 0.5789 0.4344 0.1743  1 Er 3.06, 4 Ce 3.27-3.42
Bi 0.3257 0.9344 0.9211  1 Er 3.06, 4 Ce 3.27-3.42
Bi 0.0656 0.9211 0.3257  1 Er 3.06, 4 Ce 3.27-3.42
Bi 0.9211 0.6743 0.9344  1 Er 3.06, 4 Ce 3.27-3.42
Bi 0.0789 0.3257 0.0656  1 Er 3.06, 4 Ce 3.27-3.42
Bi 0.9344 0.0789 0.6743  1 Er 3.06, 4 Ce 3.27-3.42
Bi 0.4344 0.8257 0.4211  1 Er 3.06, 4 Ce 3.27-3.42
Bi 0.8257 0.5789 0.5656  1 Er 3.06, 4 Ce 3.27-3.42
Bi 0.6743 0.0656 0.0789  1 Er 3.06, 4 Ce 3.27-3.42
Bi 0.5656 0.1743 0.5789  1 Er 3.06, 4 Ce 3.27-3.42
Bi 0.4211 0.5656 0.8257  1 Er 3.06, 4 Ce 3.27-3.42
Bi 0.1743 0.4211 0.4344  1 Er 3.06, 4 Ce 3.27-3.42
Ce 0.7500 0.3614 0.8614  8 Bi 3.27-3.45
Ce 0.1386 0.7500 0.6387  8 Bi 3.27-3.45
Ce 0.2500 0.2500 0.7500  6 Bi 3.30
Ce 0.3614 0.1386 0.2500  8 Bi 3.27-3.45
Ce 0.2500 0.6387 0.1386  8 Bi 3.27-3.45
Ce 0.7500 0.7500 0.2500  6 Bi 3.30
Ce 0.8614 0.2500 0.3614  8 Bi 3.27-3.45
Ce 0.6387 0.8614 0.7500  8 Bi 3.27-3.45
Er 0.0000 0.0000 0.0000  6 Bi 3.06
Er 0.5000 0.5000 0.5000  6 Bi 3.06

Results
Symmetry: R-3c
ΔH_f (0 K), eV per atom: -0.659
Total magnetization, μB per formula unit: 2.51
N(E_F), states/eV/atom: 2.212
Calculated total energy, eV per atom: -5.348

# 7
LiScCo after structural relaxation, computed with PBE-GGA.

abc: 5.3752 5.3748 3.1261
angles: 73.10 73.09 33.81
With the nearest neighbours (Å) after each atom.
Positions (direct):
Co 0.0024 0.0024 0.9976  4 Sc 2.58, 4 Li 2.62
Sc 0.6385 0.6385 0.3615  4 Co 2.58, 1 Li 2.74
Li 0.3591 0.3591 0.6409  4 Co 2.62, 1 Sc 2.74

Results
Symmetry: I4mm
ΔH_f (0 K), eV per atom: 0.022
Total magnetization, μB per formula unit: 0.00
N(E_F), states/eV/atom: 0.675
Excess energy over the best structure of this formula in the dataset, eV per formula unit: 0.00
Calculated total energy, eV per atom: -5.095

# 8
ZrTcNiCl2 after structural relaxation, computed with PBE-GGA.

abc: 4.5974 4.6266 4.5974
angles: 90.00 90.00 90.00
With the nearest neighbours (Å) after each atom.
Positions (direct):
Ni 0.0000 0.5000 0.0000  2 Tc 2.31
Tc 0.0000 0.0000 0.0000  4 Cl 2.30, 2 Ni 2.31
Cl 0.0000 0.0000 0.5000  2 Tc 2.30
Cl 0.5000 0.0000 0.0000  2 Tc 2.30
Zr 0.5000 0.5000 0.5000  4 Ni 3.25, 8 Cl 3.26

Results
Symmetry: P4/mmm
Total magnetization, μB per formula unit: 0.00
N(E_F), states/eV/atom: 1.162
E_form (uncorrected), kJ/mol of atoms: 62
Calculated total energy, eV per atom: -5.036

# 9
Rb2Na2Tl5Cd after structural relaxation, computed with PBE-GGA.

abc: 4.5103 12.2872 12.2872
angles: 90.00 90.00 90.00
With the nearest neighbours (Å) after each atom.
Positions (direct):
Tl 0.5000 0.4593 0.3177  2 Cd 3.22, 2 Tl 3.25, 2 Na 3.42
Tl 0.5000 0.0000 0.5000  4 Na 3.16
Tl 0.5000 0.5000 0.0000  4 Na 3.16
Tl 0.5000 0.6823 0.4593  2 Cd 3.22, 2 Tl 3.25, 2 Na 3.42
Tl 0.5000 0.5407 0.6823  2 Cd 3.22, 2 Tl 3.25, 2 Na 3.42
Tl 0.5000 0.1823 0.0407  2 Cd 3.22, 2 Tl 3.25, 2 Na 3.42
Tl 0.5000 0.8177 0.9593  2 Cd 3.22, 2 Tl 3.25, 2 Na 3.42
Tl 0.5000 0.9593 0.1823  2 Cd 3.22, 2 Tl 3.25, 2 Na 3.42
Tl 0.5000 0.0407 0.8177  2 Cd 3.22, 2 Tl 3.25, 2 Na 3.42
Tl 0.5000 0.3177 0.5407  2 Cd 3.22, 2 Tl 3.25, 2 Na 3.42
Rb 0.0000 0.3199 0.8199  1 Na 3.35
Rb 0.0000 0.1801 0.3199  1 Na 3.35
Rb 0.0000 0.6801 0.1801  1 Na 3.35
Rb 0.0000 0.8199 0.6801  1 Na 3.35
Cd 0.0000 0.0000 0.0000  8 Tl 3.22
Cd 0.0000 0.5000 0.5000  8 Tl 3.22
Na 0.0000 0.8726 0.3726  6 Tl 3.16-3.42, 1 Rb 3.35
Na 0.0000 0.3726 0.1274  6 Tl 3.16-3.42, 1 Rb 3.35
Na 0.0000 0.6274 0.8726  6 Tl 3.16-3.42, 1 Rb 3.35
Na 0.0000 0.1274 0.6274  6 Tl 3.16-3.42, 1 Rb 3.35

Results
Symmetry: P4/mbm
ΔH_f (0 K), eV per atom: -0.035
Total magnetization, μB per formula unit: 0.00
N(E_F), states/eV/atom: 0.518
Calculated total energy, eV per atom: -1.767

# 10
BeVSeBr2 after structural relaxation, computed with PBE-GGA.

abc: 4.5870 4.5870 5.1865
angles: 90.00 90.00 90.00
With the nearest neighbours (Å) after each atom.
Positions (direct):
Be 0.0000 0.0000 0.0000  4 Br 2.29
Br 0.5000 0.0000 0.0000  2 Be 2.29
Br 0.0000 0.5000 0.0000  2 Be 2.29
Se 0.0000 0.0000 0.5000  2 Be 2.59
V 0.5000 0.5000 0.5000  4 Se 3.24, 8 Br 3.46

Results
Symmetry: P4/mmm
Total magnetization, μB per formula unit: 3.00
N(E_F), states/eV/atom: 0.626
Excess energy over the best structure of this formula in the dataset, eV per formula unit: 0.00
E_form (uncorrected), kJ/mol of atoms: 17
Calculated total energy, eV per atom: -3.759

# 11
LiTeRu2 after structural relaxation, computed with PBE-GGA.

abc: 8.9748 8.9748 8.9748
angles: 19.16 19.16 19.16
With the nearest neighbours (Å) after each atom.
Positions (direct):
Li 0.7444 0.7444 0.7444  3 Ru 2.76, 6 Li 2.99, 3 Te 3.02
Ru 0.2548 0.2548 0.2548  3 Ru 2.62, 3 Te 2.80
Ru 0.9961 0.9961 0.9961  3 Ru 2.62, 3 Li 2.76
Te 0.5047 0.5047 0.5047  3 Ru 2.80, 6 Te 2.99, 3 Li 3.02

Results
Symmetry: R3m
Total magnetization, μB per formula unit: 0.00
N(E_F), states/eV/atom: 0.855
E_form (uncorrected), kJ/mol of atoms: 34
Calculated total energy, eV per atom: -5.545

# 12
KTaZn2 after structural relaxation, computed with PBE-GGA.

abc: 2.9664 2.9664 9.4946
angles: 90.00 90.00 90.00
With the nearest neighbours (Å) after each atom.
Positions (direct):
K 0.0000 0.0000 0.4786  4 K 2.97
Zn 0.5000 0.5000 0.1913  8 Zn 2.71-2.97
Zn 0.0000 0.0000 0.0101  8 Zn 2.71-2.97, 4 Ta 2.77
Ta 0.5000 0.5000 0.8200  4 Zn 2.77, 4 Ta 2.97

Results
Symmetry: P4mm
ΔH_f (0 K), eV per atom: 0.490
Total magnetization, μB per formula unit: 0.00
N(E_F), states/eV/atom: 0.375
Excess energy over the best structure of this formula in the dataset, eV per formula unit: 0.14
Calculated total energy, eV per atom: -3.384